Ac2HfV3O12 PBE+U optimized geometry; D(E_F) = 0.253 states/eV/atom; E = -142.80 eV per cell; crystal system = trigonal; ρ = 6.8 g/cm3; symmetry = R-3m, No. 166
1.0
3.5093 2.0261 5.5919
-3.5093 2.0261 5.5919
0.0000 -4.0522 5.5919
Ac Hf V O
2 1 3 12
direct
0.1326 0.1326 0.1326
0.8674 0.8674 0.8674
0.5000 0.5000 0.5000
0.0000 0.5000 0.5000
0.5000 0.0000 0.5000
0.5000 0.5000 0.0000
0.1175 0.6181 0.6181
0.2077 0.2077 0.5929
0.2077 0.5929 0.2077
0.3819 0.3819 0.8825
0.3819 0.8825 0.3819
0.4071 0.7923 0.7923
0.5929 0.2077 0.2077
0.6181 0.1175 0.6181
0.6181 0.6181 0.1175
0.7923 0.4071 0.7923
0.7923 0.7923 0.4071
0.8825 0.3819 0.3819